Record 1
Below is a relaxed structure of YPa, with properties calculated at the PBE-GGA level. Values from VASP.

Values from the calculation:
crystal system = hexagonal
excess energy over the best structure of this formula in the dataset = 795.7 meV per atom

Cell and atoms, written as Quantum ESPRESSO input:
```
&SYSTEM
  ibrav = 0, nat = 4, ntyp = 2
/
ATOMIC_SPECIES
Pa 231.04 Pa.upf
Y 88.91 Y.upf
ATOMIC_POSITIONS angstrom
Pa 0.000 0.000 0.000
Pa 0.453 1.387 2.186
Y -2.228 -0.671 2.467
Y -2.159 3.372 3.047
CELL_PARAMETERS angstrom
-3.222 3.947 -1.837
-2.072 -4.020 2.980
0.906 2.774 4.371
```



Record 2
Below is a relaxed structure of SmCu2, with properties calculated at the PBE-GGA level. Values from VASP.

Values from the calculation:
crystal system = orthorhombic

Cell and atoms, written as Quantum ESPRESSO input:
```
&SYSTEM
  ibrav = 0, nat = 6, ntyp = 2
/
ATOMIC_SPECIES
Cu 63.55 Cu.upf
Sm 150.36 Sm.upf
ATOMIC_POSITIONS angstrom
Cu -1.942 -3.425 4.841
Cu -2.410 -2.174 0.690
Cu 2.317 -3.266 0.464
Cu 1.849 -2.015 -3.686
Sm 0.053 -2.978 2.474
Sm -0.146 -2.461 -1.320
CELL_PARAMETERS angstrom
2.518 -3.216 3.775
-5.123 -0.621 2.075
2.512 -1.604 -4.696
```



Record 3
Below is a relaxed structure of Sr3Sn13Ir4, with properties calculated at the PBE-GGA level. Values from VASP.

Values from the calculation:
crystal system = cubic

Cell and atoms, written as Quantum ESPRESSO input:
```
&SYSTEM
  ibrav = 0, nat = 40, ntyp = 3
/
ATOMIC_SPECIES
Ir 192.22 Ir.upf
Sn 118.71 Sn.upf
Sr 87.62 Sr.upf
ATOMIC_POSITIONS angstrom
Ir -0.045 -4.190 -0.909
Ir -3.751 -7.302 0.134
Ir 0.310 -6.134 -5.448
Ir -3.396 -9.246 -4.405
Ir 3.218 -7.514 0.770
Ir -0.489 -10.625 1.813
Ir 3.573 -9.458 -3.769
Ir -0.134 -12.570 -2.726
Sn 0.000 0.000 0.000
Sn -2.121 -2.463 -0.754
Sn -5.076 -4.944 0.077
Sn -1.628 -5.168 -7.069
Sn -4.582 -7.649 -6.238
Sn 1.207 -2.181 -2.219
Sn 1.490 -3.731 -5.837
Sn -2.160 -5.789 -1.445
Sn -1.943 -6.973 -4.209
Sn 0.834 -2.946 1.327
Sn -4.323 -7.275 2.778
Sn 1.147 -5.497 -2.956
Sn -3.312 -9.240 -1.701
Sn 0.826 -6.263 0.595
Sn -1.431 -8.158 1.230
Sn -0.089 -8.380 -1.817
Sn 1.253 -8.602 -4.865
Sn -1.004 -10.497 -4.230
Sn 3.133 -7.520 -1.933
Sn -1.326 -11.263 -0.679
Sn 3.434 -5.596 2.666
Sn -1.722 -9.924 4.117
Sn 1.765 -9.787 0.574
Sn 1.981 -10.971 -2.189
Sn 5.745 -6.805 0.117
Sn 6.028 -8.355 -3.501
Sr -1.498 -3.500 -4.018
Sr -5.205 -6.612 -2.975
Sr -2.076 -4.774 1.883
Sr 3.440 -4.296 -0.591
Sr 3.795 -6.240 -5.130
Sr 1.187 -8.097 3.561
CELL_PARAMETERS angstrom
-7.414 -6.223 2.086
0.710 -3.889 -9.078
6.525 -6.648 3.358
```



Record 4
Below is a relaxed structure of La3PrBr2O2, with properties calculated at the PBE-GGA level. Values from VASP.

Values from the calculation:
crystal system = trigonal

Cell and atoms, written as Quantum ESPRESSO input:
```
&SYSTEM
  ibrav = 0, nat = 8, ntyp = 4
/
ATOMIC_SPECIES
Br 79.90 Br.upf
La 138.91 La.upf
O 16.00 O.upf
Pr 140.91 Pr.upf
ATOMIC_POSITIONS angstrom
Br 0.000 0.000 3.694
Br 0.000 2.156 11.148
La 0.000 2.156 1.347
La 0.000 2.156 6.028
La 0.000 0.000 8.797
O 1.868 1.078 7.411
O 1.868 1.078 14.810
Pr 0.000 0.000 13.434
CELL_PARAMETERS angstrom
3.735 0.000 0.000
-1.868 3.235 0.000
0.000 0.000 14.816
```



Record 5
Below is a relaxed structure of Gd2HoPdPt2Pb3, with properties calculated at the PBE-GGA level. Values from VASP.

Values from the calculation:
crystal system = orthorhombic

Cell and atoms, written as Quantum ESPRESSO input:
```
&SYSTEM
  ibrav = 0, nat = 9, ntyp = 5
/
ATOMIC_SPECIES
Gd 157.25 Gd.upf
Ho 164.93 Ho.upf
Pb 207.20 Pb.upf
Pd 106.42 Pd.upf
Pt 195.08 Pt.upf
ATOMIC_POSITIONS angstrom
Gd 0.000 2.731 1.586
Gd 0.000 -2.731 1.586
Ho 0.000 0.000 4.618
Pb 1.989 4.959 2.878
Pb 1.989 0.000 2.031
Pb 1.989 -4.959 2.878
Pd 0.000 0.000 7.771
Pt 1.989 2.213 3.904
Pt 1.989 -2.213 3.904
CELL_PARAMETERS angstrom
3.978 0.000 0.000
0.000 6.713 3.894
0.000 -6.713 3.894
```



Record 6
Below is a relaxed structure of DyCdNO, with properties calculated at the PBE-GGA level. Values from VASP.

Values from the calculation:
crystal system = orthorhombic
excess energy over the best structure of this formula in the dataset = 58.5 meV per atom

Cell and atoms, written as Quantum ESPRESSO input:
```
&SYSTEM
  ibrav = 0, nat = 16, ntyp = 4
/
ATOMIC_SPECIES
Cd 112.41 Cd.upf
Dy 162.50 Dy.upf
N 14.01 N.upf
O 16.00 O.upf
ATOMIC_POSITIONS angstrom
Cd 3.638 2.998 0.250
Cd 0.423 5.110 0.250
Cd 6.007 2.998 2.701
Cd 2.792 5.110 2.701
Dy 0.428 1.095 0.250
Dy 3.643 7.014 0.250
Dy 2.787 1.095 2.701
Dy 6.002 7.014 2.701
N 2.681 0.974 0.248
N 5.896 7.135 0.248
N 0.534 0.974 2.699
N 3.749 7.135 2.699
O 5.901 3.098 0.244
O 2.686 5.011 0.244
O 3.744 3.098 2.695
O 0.529 5.011 2.695
CELL_PARAMETERS angstrom
6.430 0.000 0.000
0.000 8.109 0.000
0.000 0.000 4.902
```



VASP energy for the records above, in order: -6.98; -4.28; -5.07; -6.10; -5.52; -6.08 eV per atom